Here is a geometry-optimized Ba2CoSe2Cl2O6 structure from the Alexandria database. Energies are from PBE+U.

Lattice parameters (Å, degrees): 6.890 12.898 5.446 90.00 90.00 90.00
Space group Pnnm (No. 58)
Inequivalent atoms, fractional coordinates:
Ba (0.203, 0.231, 0.000) (multiplicity 4)
Co (0.000, 0.000, 0.500) (multiplicity 2)
Se (0.247, 0.427, 0.500) (multiplicity 4)
Cl (0.182, 0.603, 0.000) (multiplicity 4)
O (0.088, 0.326, 0.500) (multiplicity 4)
O (0.100, 0.891, 0.242) (multiplicity 8)

- ρ: 4.52 g/cm³
- Raw total energy: -5.49 eV/atom



Here is a geometry-optimized Mn2PbIO structure from the Alexandria database. Energies are from PBE+U.

Lattice parameters (Å, degrees): 4.466 4.466 9.278 90.00 90.00 90.00
Space group P4/mmm (No. 123)
Inequivalent atoms, fractional coordinates:
Mn (0.000, 0.500, 0.000) (multiplicity 2)
Pb (0.000, 0.000, 0.500) (multiplicity 1)
I (0.500, 0.500, 0.500) (multiplicity 1)
O (0.500, 0.500, 0.000) (multiplicity 1)

- ρ: 4.13 g/cm³
- Raw total energy: -5.03 eV/atom